1.
CoSn3Au | PBE-GGA | optimized geometry

The space group is Pm-3m (No. 221) and the conventional cell measures 4.891, 4.891 and 4.891 Å, with angles of 90.00, 90.00 and 90.00 degrees. The asymmetric unit holds Co at (0.000, 0.000, 0.000), Sn at (0.000, 0.000, 0.500) and Au at (0.500, 0.500, 0.500).

The energy above the most stable polymorph in this dataset comes out at 0.000 eV/atom. The crystal system is cubic.

---

2.
Co3SnAu | PBE-GGA | optimized geometry

The space group is Pm-3m (No. 221) and the conventional cell measures 4.698, 4.698 and 4.698 Å, with angles of 90.00, 90.00 and 90.00 degrees. The asymmetric unit holds Co at (0.000, 0.000, 0.500), Sn at (0.500, 0.500, 0.500) and Au at (0.000, 0.000, 0.000).

The energy above the most stable polymorph in this dataset comes out at 0.000 eV/atom. The crystal system is cubic.

---

3.
CoSn6Au | PBE-GGA | optimized geometry

The space group is P-1 (No. 2) and the conventional cell measures 6.383, 6.390 and 6.675 Å, with angles of 61.65, 61.48 and 60.10 degrees. The asymmetric unit holds Co at (0.000, 0.000, 0.000), Sn at (0.017, 0.790, 0.753), Sn at (0.214, 0.561, 0.242), Sn at (0.438, 0.020, 0.753) and Au at (0.500, 0.500, 0.500).

The energy above the most stable polymorph in this dataset comes out at 0.007 eV/atom. The crystal system is triclinic.

---

4.
CoSn2Au | PBE-GGA | optimized geometry

The space group is I-42d (No. 122) and the conventional cell measures 4.462, 4.462 and 17.302 Å, with angles of 90.00, 90.00 and 90.00 degrees. The asymmetric unit holds Co at (0.000, 0.000, 0.000), Sn at (0.226, 0.250, 0.125) and Au at (0.000, 0.000, 0.500).

The energy above the most stable polymorph in this dataset comes out at 0.000 eV/atom. The crystal system is tetragonal.

---

5.
CoSnAu3 | PBE-GGA | optimized geometry

The space group is Pm-3m (No. 221) and the conventional cell measures 4.827, 4.827 and 4.827 Å, with angles of 90.00, 90.00 and 90.00 degrees. The asymmetric unit holds Co at (0.000, 0.000, 0.000), Sn at (0.500, 0.500, 0.500) and Au at (0.000, 0.000, 0.500).

The energy above the most stable polymorph in this dataset comes out at 0.000 eV/atom. The crystal system is cubic.

---

6.
CoSn4Au2 | PBE-GGA | optimized geometry

The space group is P-1 (No. 2) and the conventional cell measures 4.071, 6.807 and 6.841 Å, with angles of 119.22, 90.32 and 107.10 degrees. The asymmetric unit holds Co at (0.000, 0.000, 0.000), Sn at (0.100, 0.200, 0.441), Sn at (0.392, 0.782, 0.052) and Au at (0.254, 0.509, 0.262).

The crystal system is triclinic.

---

7.
SrCoAu2 | PBE-GGA | optimized geometry

The space group is Imm2 (No. 44) and the conventional cell measures 3.957, 4.575 and 9.200 Å, with angles of 90.00, 90.00 and 90.00 degrees. The asymmetric unit holds Sr at (0.000, 0.000, 0.000), Co at (0.000, 0.500, 0.240), Au at (0.000, 0.000, 0.543) and Au at (0.000, 0.500, 0.771).

The energy above the most stable polymorph in this dataset comes out at 0.265 eV/atom. The crystal system is orthorhombic.

---

8.
SrCoAu2 | PBE-GGA | optimized geometry

The space group is Immm (No. 71) and the conventional cell measures 4.350, 5.504 and 7.596 Å, with angles of 90.00, 90.00 and 90.00 degrees. The asymmetric unit holds Sr at (0.000, 0.000, 0.000), Co at (0.000, 0.000, 0.500) and Au at (0.000, 0.500, 0.194).

The energy above the most stable polymorph in this dataset comes out at 0.182 eV/atom. The crystal system is orthorhombic.

---

no.,formation enthalpy at 0 K (eV/atom),uncorrected energy (eV per cell),calculated volume (Å³ per atom)
1,0.0956,-21.914,23.40
2,1.2422,-22.387,20.73
3,-0.0074,-34.459,24.64
4,0.2253,-69.950,21.53
5,0.5287,-18.297,22.49
6,-0.1286,-30.572,22.22
7,0.0511,-30.276,20.82
8,-0.0319,-30.940,22.73